This record from Alexandria describes a geometry-optimized BeCoSe4 structure. The functional is PBE.

Geometry as extended XYZ:
```
6
Lattice="0.000 3.960 3.960 3.960 0.000 3.960 3.960 3.960 0.000" Properties=species:S:1:pos:R:3 pbc="T T T"
Be 0.000 0.000 0.000
Co 5.940 5.940 5.940
Se 2.971 2.971 2.971
Se 4.949 4.949 2.971
Se 4.949 2.971 4.949
Se 2.971 4.949 4.949
```

## Properties
The formation energy (no corrections) is 1.158 eV per atom. The space-group type is No. 216.

=====

This record from Alexandria describes a geometry-optimized BeCo4Se structure. The functional is PBE.

Geometry as extended XYZ:
```
6
Lattice="0.000 3.347 3.347 3.347 0.000 3.347 3.347 3.347 0.000" Properties=species:S:1:pos:R:3 pbc="T T T"
Be 0.000 0.000 0.000
Co 4.187 2.507 2.507
Co 2.507 4.187 2.507
Co 2.507 2.507 4.187
Co 4.187 4.187 4.187
Se 1.673 1.673 1.673
```

## Properties
The formation energy (no corrections) is 0.423 eV per atom. The space-group type is No. 216.

=====

This record from Alexandria describes a geometry-optimized Be2CoSe structure. The functional is PBE.

Geometry as extended XYZ:
```
4
Lattice="2.385 -3.977 0.000 2.385 3.977 0.000 -1.696 0.000 2.492" Properties=species:S:1:pos:R:3 pbc="T T T"
Be 1.192 1.989 0.000
Be 1.192 -1.989 0.000
Co 0.000 0.000 0.000
Se 2.385 0.000 0.000
```

## Properties
The formation energy (no corrections) is 0.280 eV per atom. The space-group type is No. 12.

=====

This record from Alexandria describes a geometry-optimized BeCoSe3 structure. The functional is PBE.

Geometry as extended XYZ:
```
5
Lattice="4.545 0.000 0.000 0.000 4.545 0.000 0.000 0.000 4.545" Properties=species:S:1:pos:R:3 pbc="T T T"
Be 0.000 0.000 0.000
Co 2.273 2.273 2.273
Se 0.000 0.000 2.273
Se 0.000 2.273 0.000
Se 2.273 0.000 0.000
```

## Properties
The formation energy (no corrections) is 0.668 eV per atom. The space-group type is No. 221.

=====

This record from Alexandria describes a geometry-optimized BeCoSe structure. The functional is PBE.

Geometry as extended XYZ:
```
3
Lattice="-1.384 1.384 5.571 1.384 -1.384 5.571 1.384 1.384 -5.571" Properties=species:S:1:pos:R:3 pbc="T T T"
Be 0.000 0.000 0.000
Co 0.000 0.000 4.443
Se 0.000 0.000 8.456
```

## Properties
The formation energy (no corrections) is 0.246 eV per atom. The space-group type is No. 107.

=====

This record from Alexandria describes a geometry-optimized Be3CoSe structure. The functional is PBE.

Geometry as extended XYZ:
```
5
Lattice="4.189 0.000 0.000 0.000 4.189 0.000 0.000 0.000 4.189" Properties=species:S:1:pos:R:3 pbc="T T T"
Be 0.000 0.000 2.094
Be 0.000 2.094 0.000
Be 2.094 0.000 0.000
Co 2.094 2.094 2.094
Se 0.000 0.000 0.000
```

## Properties
The formation energy (no corrections) is 1.213 eV per atom. The space-group type is No. 221.

=====

This record from Alexandria describes a geometry-optimized Be2CoSe structure. The functional is PBE.

Geometry as extended XYZ:
```
4
Lattice="-1.722 1.722 3.678 1.722 -1.722 3.678 1.722 1.722 -3.678" Properties=species:S:1:pos:R:3 pbc="T T T"
Be 1.722 0.000 1.839
Be 0.000 1.722 1.839
Co 0.000 0.000 0.000
Se 0.000 0.000 3.678
```

## Properties
The formation energy (no corrections) is 0.193 eV per atom. The space-group type is No. 139.

=====

This record from Alexandria describes a geometry-optimized BeCoSe structure. The functional is PBE.

Geometry as extended XYZ:
```
6
Lattice="10.064 0.000 0.000 0.000 1.989 1.994 0.000 -1.989 1.994" Properties=species:S:1:pos:R:3 pbc="T T T"
Be 1.093 0.000 0.000
Be 8.971 0.000 0.000
Co 0.000 0.000 1.994
Co 5.032 0.000 2.012
Se 3.445 0.000 0.014
Se 6.620 0.000 0.014
```

## Properties
The formation energy (no corrections) is 0.148 eV per atom. The space-group type is No. 38.

=====

This record from Alexandria describes a geometry-optimized BeCoSe structure. The functional is PBE.

Geometry as extended XYZ:
```
3
Lattice="2.926 0.000 0.000 -1.463 2.534 0.000 0.000 0.000 5.235" Properties=species:S:1:pos:R:3 pbc="T T T"
Be 0.000 0.000 0.000
Co 1.463 0.845 1.576
Se 0.000 1.689 3.272
```

## Properties
The formation energy (no corrections) is 0.257 eV per atom. The space-group type is No. 156.

=====

This record from Alexandria describes a geometry-optimized BeCoSe3 structure. The functional is PBE.

Geometry as extended XYZ:
```
5
Lattice="4.660 0.000 0.000 0.000 4.660 0.000 0.000 0.000 4.660" Properties=species:S:1:pos:R:3 pbc="T T T"
Be 0.000 0.000 0.000
Co 2.330 2.330 2.330
Se 0.000 2.330 2.330
Se 2.330 0.000 2.330
Se 2.330 2.330 0.000
```

## Properties
The formation energy (no corrections) is 0.735 eV per atom. The space-group type is No. 221.

=====

This record from Alexandria describes a geometry-optimized Be2CoSe structure. The functional is PBE.

Geometry as extended XYZ:
```
4
Lattice="3.767 -1.513 0.000 3.767 1.513 0.000 -0.095 0.000 4.246" Properties=species:S:1:pos:R:3 pbc="T T T"
Be 1.597 0.000 0.655
Be 5.842 0.000 3.591
Co 3.767 0.000 0.000
Se -0.047 0.000 2.123
```

## Properties
The formation energy (no corrections) is 0.174 eV per atom. The space-group type is No. 12.

=====

This record from Alexandria describes a geometry-optimized Be3CoSe structure. The functional is PBE.

Geometry as extended XYZ:
```
5
Lattice="4.028 0.000 0.000 0.000 4.028 0.000 0.000 0.000 4.028" Properties=species:S:1:pos:R:3 pbc="T T T"
Be 0.000 0.000 2.014
Be 0.000 2.014 0.000
Be 2.014 0.000 0.000
Co 0.000 0.000 0.000
Se 2.014 2.014 2.014
```

## Properties
The formation energy (no corrections) is 0.653 eV per atom. The space-group type is No. 221.

=====

This record from Alexandria describes a geometry-optimized Be2CoSe structure. The functional is PBE.

Geometry as extended XYZ:
```
4
Lattice="0.000 2.830 2.830 2.830 0.000 2.830 2.830 2.830 0.000" Properties=species:S:1:pos:R:3 pbc="T T T"
Be 0.000 0.000 0.000
Be 1.415 1.415 1.415
Co 4.245 4.245 4.245
Se 2.830 2.830 2.830
```

## Properties
The formation energy (no corrections) is 0.382 eV per atom. The space-group type is No. 216.

=====

This record from Alexandria describes a geometry-optimized Be2CoSe structure. The functional is PBE.

Geometry as extended XYZ:
```
4
Lattice="3.061 0.000 0.000 0.000 3.061 0.000 0.000 0.000 4.718" Properties=species:S:1:pos:R:3 pbc="T T T"
Be 0.000 0.000 1.071
Be 0.000 0.000 3.648
Co 1.531 1.531 0.000
Se 1.531 1.531 2.359
```

## Properties
The formation energy (no corrections) is 0.057 eV per atom. The space-group type is No. 123.

=====

This record from Alexandria describes a geometry-optimized BeCoSe structure. The functional is PBE.

Geometry as extended XYZ:
```
3
Lattice="3.874 0.000 0.000 -1.937 3.355 0.000 0.000 0.000 3.662" Properties=species:S:1:pos:R:3 pbc="T T T"
Be 0.000 0.000 0.000
Co 1.937 1.118 0.319
Se 0.000 2.236 0.839
```

## Properties
The formation energy (no corrections) is 0.289 eV per atom. The space-group type is No. 156.

=====

This record from Alexandria describes a geometry-optimized BeCoSe structure. The functional is PBE.

Geometry as extended XYZ:
```
3
Lattice="-1.581 1.581 3.552 1.581 -1.581 3.552 1.581 1.581 -3.552" Properties=species:S:1:pos:R:3 pbc="T T T"
Be 0.000 0.000 0.000
Co 0.000 0.000 2.451
Se 0.000 0.000 4.787
```

## Properties
The formation energy (no corrections) is 0.128 eV per atom. The space-group type is No. 107.

=====

This record from Alexandria describes a geometry-optimized Be2CoSe structure. The functional is PBE.

Geometry as extended XYZ:
```
8
Lattice="-2.624 2.624 4.658 2.624 -2.624 4.658 2.624 2.624 -4.658" Properties=species:S:1:pos:R:3 pbc="T T T"
Be 3.936 1.307 -1.164
Be 1.307 1.312 1.164
Be -1.312 1.317 3.493
Be 1.317 1.312 5.822
Co 0.000 0.000 0.000
Co 0.000 2.624 2.329
Se 2.624 0.000 2.329
Se 0.000 0.000 4.658
```

## Properties
The formation energy (no corrections) is 0.497 eV per atom. The space-group type is No. 122.

=====

This record from Alexandria describes a geometry-optimized Be2CoSe structure. The functional is PBE.

Geometry as extended XYZ:
```
4
Lattice="3.078 0.000 0.000 0.000 3.078 0.000 0.000 0.000 4.811" Properties=species:S:1:pos:R:3 pbc="T T T"
Be 0.000 0.000 0.000
Be 1.539 1.539 1.129
Co 0.000 0.000 2.147
Se 1.539 1.539 3.576
```

## Properties
The formation energy (no corrections) is 0.167 eV per atom. The space-group type is No. 99.

=====

This record from Alexandria describes a geometry-optimized Be2CoSe structure. The functional is PBE.

Geometry as extended XYZ:
```
4
Lattice="3.686 0.000 0.000 0.000 3.686 0.000 0.000 0.000 3.230" Properties=species:S:1:pos:R:3 pbc="T T T"
Be 0.000 1.843 0.000
Be 1.843 0.000 0.000
Co 0.000 0.000 1.615
Se 1.843 1.843 1.615
```

## Properties
The formation energy (no corrections) is 0.197 eV per atom. The space-group type is No. 123.

=====

This record from Alexandria describes a geometry-optimized Be2CoSe structure. The functional is PBE.

Geometry as extended XYZ:
```
4
Lattice="3.521 -1.519 0.000 3.521 1.519 0.000 -0.521 0.000 4.946" Properties=species:S:1:pos:R:3 pbc="T T T"
Be 0.000 0.000 0.000
Be 4.484 0.000 4.095
Co 2.041 0.000 0.636
Se 4.151 0.000 1.867
```

## Properties
The formation energy (no corrections) is 0.021 eV per atom. The space-group type is No. 8.

=====

This record from Alexandria describes a geometry-optimized BeCoSe structure. The functional is PBE.

Geometry as extended XYZ:
```
3
Lattice="0.000 2.684 2.684 2.684 0.000 2.684 2.684 2.684 0.000" Properties=species:S:1:pos:R:3 pbc="T T T"
Be 0.000 0.000 0.000
Co 1.342 1.342 1.342
Se 4.026 4.026 4.026
```

## Properties
The formation energy (no corrections) is 0.238 eV per atom. The space-group type is No. 216.

=====

This record from Alexandria describes a geometry-optimized TaBeCo2Se structure. The functional is PBE.

Geometry as extended XYZ:
```
5
Lattice="3.875 0.000 0.000 0.000 3.875 0.000 0.000 0.000 4.435" Properties=species:S:1:pos:R:3 pbc="T T T"
Ta 0.000 0.000 0.000
Be 1.937 1.937 2.217
Co 0.000 1.937 2.217
Co 1.937 0.000 2.217
Se 1.937 1.937 0.000
```

## Properties
The formation energy (no corrections) is 0.640 eV per atom. The space-group type is No. 123.

=====

This record from Alexandria describes a geometry-optimized ZrBeCoSe2 structure. The functional is PBE.

Geometry as extended XYZ:
```
5
Lattice="4.700 0.000 0.000 0.000 4.700 0.000 0.000 0.000 3.822" Properties=species:S:1:pos:R:3 pbc="T T T"
Zr 0.000 0.000 0.000
Be 2.350 2.350 0.000
Co 2.350 2.350 1.911
Se 0.000 2.350 1.911
Se 2.350 0.000 1.911
```

## Properties
The formation energy (no corrections) is 0.025 eV per atom. The space-group type is No. 123.

=====

This record from Alexandria describes a geometry-optimized BeCo3Si structure. The functional is PBE.

Geometry as extended XYZ:
```
10
Lattice="5.549 0.000 0.000 -2.774 4.805 0.000 0.000 0.000 3.958" Properties=species:S:1:pos:R:3 pbc="T T T"
Be 0.000 0.000 0.000
Be 0.000 0.000 1.979
Co 0.000 1.820 0.989
Co -1.198 3.895 0.989
Co 1.576 0.910 2.968
Co 1.198 3.895 0.989
Co 3.972 0.910 2.968
Co 2.774 2.985 2.968
Si 0.000 3.204 2.968
Si 2.774 1.602 0.989
```

## Properties
The formation energy (no corrections) is 0.034 eV per atom. The space-group type is No. 194.

=====

This record from Alexandria describes a geometry-optimized Be3Co3Si structure. The functional is PBE.

Geometry as extended XYZ:
```
14
Lattice="3.668 -3.728 0.000 3.668 3.728 0.000 0.000 0.000 5.109" Properties=species:S:1:pos:R:3 pbc="T T T"
Be 1.751 0.000 0.000
Be 3.668 1.885 0.000
Be 3.668 1.853 2.554
Be 3.668 -1.853 2.554
Be 3.668 -1.885 0.000
Be 5.584 0.000 0.000
Co 1.834 1.864 1.247
Co 1.834 1.864 3.861
Co 1.834 -1.864 1.247
Co 1.834 -1.864 3.861
Co 3.668 0.000 1.237
Co 3.668 0.000 3.872
Si 1.773 0.000 2.554
Si 5.563 0.000 2.554
```

## Properties
The formation energy (no corrections) is -0.355 eV per atom. The space-group type is No. 65.

=====

This record from Alexandria describes a geometry-optimized BeCoSi structure. The functional is PBE.

Geometry as extended XYZ:
```
3
Lattice="3.722 0.000 0.000 -1.861 3.223 0.000 0.000 0.000 2.508" Properties=species:S:1:pos:R:3 pbc="T T T"
Be 0.000 0.000 0.000
Co 1.861 1.074 0.873
Si 0.000 2.149 1.783
```

## Properties
The formation energy (no corrections) is -0.177 eV per atom. The space-group type is No. 156.

=====

This record from Alexandria describes a geometry-optimized BeCoSi2 structure. The functional is PBE.

Geometry as extended XYZ:
```
4
Lattice="2.604 0.000 0.000 0.000 2.604 0.000 0.000 0.000 6.614" Properties=species:S:1:pos:R:3 pbc="T T T"
Be 0.000 0.000 0.000
Co 1.302 1.302 1.343
Si 0.000 0.000 2.824
Si 1.302 1.302 4.958
```

## Properties
The formation energy (no corrections) is 0.012 eV per atom. The space-group type is No. 99.

=====

This record from Alexandria describes a geometry-optimized BeCoSi2 structure. The functional is PBE.

Geometry as extended XYZ:
```
4
Lattice="-1.751 1.788 3.469 1.751 -1.788 3.469 1.751 1.788 -3.469" Properties=species:S:1:pos:R:3 pbc="T T T"
Be 0.000 0.000 0.000
Co 0.000 0.000 3.469
Si 1.751 0.000 1.734
Si 0.000 1.788 1.736
```

## Properties
The formation energy (no corrections) is -0.008 eV per atom. The space-group type is No. 71.

=====

This record from Alexandria describes a geometry-optimized BeCoSi structure. The functional is PBE.

Geometry as extended XYZ:
```
3
Lattice="-1.433 1.433 3.612 1.433 -1.433 3.612 1.433 1.433 -3.612" Properties=species:S:1:pos:R:3 pbc="T T T"
Be 0.000 0.000 0.000
Co 0.000 0.000 4.756
Si 0.000 0.000 2.359
```

## Properties
The formation energy (no corrections) is -0.415 eV per atom. The space-group type is No. 107.